1.
Density functional theory data (PBE) for a relaxed RbSmAgF6 crystal.

The crystal system is orthorhombic. The calculation puts the density of states at the Fermi level at 0.4919 states/eV/atom. The total DFT energy (no corrections) is -178.4 eV/cell. For the formation energy without anion corrections, the calculation gives -2758.0 meV/atom.

It has space group Imma (No. 74), with a = 7.939 Å, b = 8.481 Å, c = 12.238 Å, α = 90.00°, β = 90.00° and γ = 90.00°. The inequivalent atoms are Rb at (0.000, 0.250, 0.020), Sm at (0.000, 0.000, 0.500), Ag at (0.250, 0.250, 0.750), F at (0.000, 0.250, 0.432), F at (0.000, 0.250, 0.789) and F at (0.219, 0.070, 0.607).

***

2.
Density functional theory data (PBE) for a relaxed Rb3SmAg2F9 crystal.

The crystal system is trigonal. The calculation puts the density of states at the Fermi level at 0.2084 states/eV/atom. The total DFT energy (no corrections) is -68.6 eV/cell. For the formation energy without anion corrections, the calculation gives -2561.5 meV/atom.

It has space group P-3m1 (No. 164), with a = 6.4409 Å, b = 6.4409 Å, c = 8.1273 Å, α = 90.00°, β = 90.00° and γ = 120.00°. The inequivalent atoms are Rb at (0.0000, 0.0000, 0.0000), Rb at (0.3333, 0.6667, 0.7193), Sm at (0.0000, 0.0000, 0.5000), Ag at (0.3333, 0.6667, 0.1645), F at (0.0000, 0.5000, 0.0000) and F at (0.1605, 0.3211, 0.3345).

***

3.
Density functional theory data (PBE) for a relaxed RbAgSnF2 crystal.

The crystal system is tetragonal. The calculation puts the density of states at the Fermi level at 0.0016 states/eV/atom. The total DFT energy (no corrections) is -18.9 eV/cell. For the formation energy without anion corrections, the calculation gives -1462.4 meV/atom.

It has space group P4/mmm (No. 123), with a = 4.785 Å, b = 4.785 Å, c = 5.359 Å, α = 90.00°, β = 90.00° and γ = 90.00°. The inequivalent atoms are Rb at (0.000, 0.000, 0.000), Ag at (0.500, 0.500, 0.000), Sn at (0.500, 0.500, 0.500) and F at (0.000, 0.500, 0.500).